The following is a DFT calculation (GGA+U) of an optimized crystal structure of KNdCoO3.

Properties
E_tot: -0.2312 hartree per atom

Unit cell a=3.611 b=11.623 c=9.546 alpha=90.00 beta=90.00 gamma=90.00
Space group Cmcm (No. 63)
Asymmetric unit:
K 0.000 0.235 0.250 x4
Nd 0.000 0.500 0.000 x4
Co 0.000 0.039 0.750 x4
O 0.000 0.117 0.574 x8
O 0.000 0.450 0.750 x4